Cu6SiGe2 | GGA-PBE | optimized geometry

Summary:
The value obtained for the electronic total energy is -36.56 eV/f.u. The space-group type is P-62m (189).

Cell lengths 7.0292, 7.0292, 2.7748 Å; angles 90.00, 90.00, 120.00 degrees
Fractional coordinates of all 9 atoms:
Cu  0.0000  0.2905  0.5000
Cu  0.2905  0.0000  0.5000
Cu  0.0000  0.6390  0.0000
Cu  0.6390  0.0000  0.0000
Cu  0.7095  0.7095  0.5000
Ge  0.6667  0.3333  0.5000
Ge  0.3333  0.6667  0.5000
Si  0.0000  0.0000  0.0000
Cu  0.3610  0.3610  0.0000